RbUTe4: optimized geometry, PBE-GGA.

E_form (uncorrected): -0.584 eV/atom
Uncorrected energy: -4.72 eV per atom
ΔE to the lowest computed polymorph: 0.260 eV per formula unit
Fermi-level density of states: 4.02 states/eV per cell

Unit cell a=8.9177 b=8.9177 c=7.9355 alpha=95.45 beta=95.45 gamma=53.31
With the nearest neighbours (Å) after each atom.
Fractional positions:
Rb: 0.1966 0.1966 0.1862  7 Te 3.88-4.06
Rb: 0.8034 0.8034 0.8138  7 Te 3.88-4.06
U: 0.4598 0.4598 0.7243  5 Te 2.89-3.04
U: 0.5402 0.5402 0.2757  5 Te 2.89-3.04
Te: 0.1580 0.6697 0.4462  1 Te 2.79, 1 U 3.04
Te: 0.2515 0.7485 0.0000  2 U 2.98
Te: 0.2797 0.2797 0.7400  1 U 2.89
Te: 0.3303 0.8420 0.5538  1 Te 2.79, 1 U 3.04
Te: 0.6697 0.1580 0.4462  1 Te 2.79, 1 U 3.04
Te: 0.7203 0.7203 0.2600  1 U 2.89
Te: 0.7485 0.2515 0.0000  2 U 2.98
Te: 0.8420 0.3303 0.5538  1 Te 2.79, 1 U 3.04